Entry 1:
# K2Al PBE optimized geometry
# Calculated volume in Å³ per atom: 38.59
# DFT formation energy in eV/atom: 0.36
data_K2Al
_chemical_formula_sum 'K8 Al4'
_space_group_name_H-M_alt 'C m c m'
_space_group_IT_number 63
_space_group_name_Hall '-C 2c 2'
_cell_length_a 3.440
_cell_length_b 21.036
_cell_length_c 6.400
_cell_angle_alpha 90.00
_cell_angle_beta 90.00
_cell_angle_gamma 90.00
loop_
_atom_site_label
_atom_site_type_symbol
_atom_site_fract_x
_atom_site_fract_y
_atom_site_fract_z
_atom_site_occupancy
K1 K 0.000 0.045 0.250 1
K2 K 0.000 0.283 0.750 1
Al1 Al 0.000 0.378 0.250 1

Entry 2:
# TbTmHfTh PBE optimized geometry
# Calculated volume in Å³ per atom: 28.58
# DFT formation energy in eV/atom: 0.19
data_TbTmHfTh
_chemical_formula_sum 'Tb4 Tm4 Hf4 Th4'
_space_group_name_H-M_alt 'F -4 3 m'
_space_group_IT_number 216
_space_group_name_Hall 'F -4 2 3'
_cell_length_a 7.704
_cell_length_b 7.704
_cell_length_c 7.704
_cell_angle_alpha 90.00
_cell_angle_beta 90.00
_cell_angle_gamma 90.00
loop_
_atom_site_label
_atom_site_type_symbol
_atom_site_fract_x
_atom_site_fract_y
_atom_site_fract_z
_atom_site_occupancy
Tb1 Tb 0.000 0.000 0.000 1
Tm1 Tm 0.250 0.250 0.250 1
Hf1 Hf 0.250 0.250 0.750 1
Th1 Th 0.000 0.000 0.500 1

Entry 3:
# CdAgGe2Ir PBE optimized geometry
# Calculated volume in Å³ per atom: 23.45
# DFT formation energy in eV/atom: 1.10
data_CdAgGe2Ir
_chemical_formula_sum 'Cd1 Ag1 Ge2 Ir1'
_space_group_name_H-M_alt 'P 4/m m m'
_space_group_IT_number 123
_space_group_name_Hall '-P 4 2'
_cell_length_a 4.774
_cell_length_b 4.774
_cell_length_c 5.145
_cell_angle_alpha 90.00
_cell_angle_beta 90.00
_cell_angle_gamma 90.00
loop_
_atom_site_label
_atom_site_type_symbol
_atom_site_fract_x
_atom_site_fract_y
_atom_site_fract_z
_atom_site_occupancy
Cd1 Cd 0.000 0.000 0.000 1
Ag1 Ag 0.500 0.500 0.500 1
Ge1 Ge 0.000 0.500 0.500 1
Ir1 Ir 0.500 0.500 0.000 1

no.,final energy (eV/atom)
1,-1.6192
2,-6.4278
3,-3.2762